Record 1
A plane-wave DFT calculation with PBE was carried out for a relaxed structure of BeTlHgAu2.

It has space group P4/mmm (No. 123), with a = 4.692 Å, b = 4.692 Å, c = 4.862 Å, α = 90.00°, β = 90.00° and γ = 90.00°. The asymmetric unit holds Be at (0.000, 0.000, 0.000), Tl at (0.500, 0.500, 0.500), Hg at (0.000, 0.000, 0.500) and Au at (0.000, 0.500, 0.000).

The spin magnetization comes out at 0.00 μB per atom. The calculation puts the energy at -12.46 eV/cell. The formation energy comes out at 98 meV/atom.

---

Record 2
A plane-wave DFT calculation with PBE was carried out for a relaxed structure of YBeHgAu2.

It has space group P4/mmm (No. 123), with a = 4.623 Å, b = 4.623 Å, c = 4.646 Å, α = 90.00°, β = 90.00° and γ = 90.00°. The asymmetric unit holds Y at (0.000, 0.000, 0.000), Be at (0.500, 0.500, 0.500), Hg at (0.500, 0.500, 0.000) and Au at (0.000, 0.500, 0.500).

The spin magnetization comes out at 0.00 μB per atom. The calculation puts the energy at -18.58 eV/cell. The formation energy comes out at -307 meV/atom.

---

Record 3
A plane-wave DFT calculation with PBE was carried out for a relaxed structure of Ho2BeAu.

It has space group Fm-3m (No. 225), with a = 7.027 Å, b = 7.027 Å, c = 7.027 Å, α = 90.00°, β = 90.00° and γ = 90.00°. The asymmetric unit holds Ho at (0.250, 0.250, 0.250), Be at (0.000, 0.000, 0.000) and Au at (0.000, 0.000, 0.500).

The spin magnetization comes out at 0.00 μB per atom. The calculation puts the energy at -70.19 eV/cell. The calculation puts the energy above the most stable polymorph in this dataset at 43 meV per atom. The formation energy comes out at -347 meV/atom.

---

Record 4
A plane-wave DFT calculation with PBE was carried out for a relaxed structure of HoBeAu.

It has space group Pnma (No. 62), with a = 7.016 Å, b = 4.335 Å, c = 7.230 Å, α = 90.00°, β = 90.00° and γ = 90.00°. The asymmetric unit holds Ho at (0.001, 0.250, 0.203), Be at (0.180, 0.250, 0.578) and Au at (0.204, 0.750, 0.410).

The spin magnetization comes out at 0.00 μB per atom. The calculation puts the energy at -52.61 eV/cell. The calculation puts the energy above the most stable polymorph in this dataset at 0 meV per atom. The formation energy comes out at -523 meV/atom.

---

Record 5
A plane-wave DFT calculation with PBE was carried out for a relaxed structure of HoBeAu.

It has space group P-6m2 (No. 187), with a = 4.1962 Å, b = 4.1962 Å, c = 3.7478 Å, α = 90.00°, β = 90.00° and γ = 120.00°. The asymmetric unit holds Ho at (0.0000, 0.0000, 0.0000), Be at (0.3333, 0.6667, 0.5000) and Au at (0.6667, 0.3333, 0.5000).

The spin magnetization comes out at 0.00 μB per atom. The calculation puts the energy at -13.14 eV/cell. The calculation puts the energy above the most stable polymorph in this dataset at 5 meV per atom. The formation energy comes out at -519 meV/atom.

---

Record 6
A plane-wave DFT calculation with PBE was carried out for a relaxed structure of HoBeAu2.

It has space group R-3m (No. 166, hexagonal axes), with a = 4.1818 Å, b = 4.1818 Å, c = 15.1936 Å, α = 90.00°, β = 90.00° and γ = 120.00°. The asymmetric unit holds Ho at (0.0000, 0.0000, 0.0000), Be at (0.0000, 0.0000, 0.5000) and Au at (0.0000, 0.0000, 0.2172).

The spin magnetization comes out at 0.00 μB per atom. The calculation puts the energy at -50.40 eV/cell. The formation energy comes out at -486 meV/atom.